This record from the Alexandria database describes crystalline Tb4RuSeS2 at its relaxed geometry. The functional is PBE.

The energy is -204.68 eV per cell. The calculation puts the density of states at the Fermi level at 17.95 states/eV per cell. For the total magnetic moment, the calculation gives 0.000 μB/atom.

The space group is Imma (No. 74) and the conventional cell measures 7.818, 8.353 and 11.405 Å, with angles of 90.00, 90.00 and 90.00 degrees. The asymmetric unit holds Tb at (0.000, 0.005, 0.246), Tb at (0.243, 0.250, 0.016), Ru at (0.250, 0.250, 0.250), Se at (0.000, 0.000, 0.500), S at (0.000, 0.000, 0.000) and S at (0.250, 0.250, 0.750).

This record from the Alexandria database describes crystalline Lu5SbPt2 at its relaxed geometry. The functional is PBE.

The energy is -188.16 eV per cell. The calculation puts the density of states at the Fermi level at 20.83 states/eV per cell. For the total magnetic moment, the calculation gives 0.000 μB/atom.

The space group is I4/mcm (No. 140) and the conventional cell measures 7.566, 7.566 and 13.505 Å, with angles of 90.00, 90.00 and 90.00 degrees. The asymmetric unit holds Lu at (0.000, 0.000, 0.000), Lu at (0.156, 0.344, 0.140), Sb at (0.000, 0.000, 0.250) and Pt at (0.140, 0.360, 0.500).

This record from the Alexandria database describes crystalline Se3IBr2 at its relaxed geometry. The functional is PBE.

The energy is -57.48 eV per cell. The calculation puts the density of states at the Fermi level at 14.74 states/eV per cell. For the total magnetic moment, the calculation gives 0.052 μB/atom.

The space group is Cmcm (No. 63) and the conventional cell measures 21.781, 9.564 and 5.273 Å, with angles of 90.00, 90.00 and 90.00 degrees. The asymmetric unit holds Se at (0.000, 0.000, 0.000), Se at (0.171, 0.500, 0.000), I at (0.000, 0.258, 0.250) and Br at (0.171, 0.265, 0.750).

This record from the Alexandria database describes crystalline Ca2AgH at its relaxed geometry. The functional is PBE.

The energy is -44.51 eV per cell. The calculation puts the density of states at the Fermi level at 7.38 states/eV per cell. For the total magnetic moment, the calculation gives 0.000 μB/atom.

The space group is I-42d (No. 122) and the conventional cell measures 6.872, 6.872 and 7.899 Å, with angles of 90.00, 90.00 and 90.00 degrees. The asymmetric unit holds Ca at (0.163, 0.750, 0.125), Ag at (0.000, 0.000, 0.500) and H at (0.000, 0.000, 0.000).

> What is the total magnetic moment in the first record?

0.000 μB/atom

> Which formula does entry 2 have?

Lu5SbPt2

> Which value of total magnetic moment does entry 2 give?

0.000 μB/atom